The following is a DFT calculation (PBE) of PmNpZnO6 after structural relaxation.

The calculation puts the uncorrected formation energy at -22.70 eV per formula unit. The calculation puts the size of the total moment at 0.00 μB per formula unit. The electronic total energy comes out at -7.93 eV per atom.

The structure belongs to space group P-31c (No. 163); the cell edges are 5.3864, 5.3864 and 10.2793 Å and the angles 90.00°, 90.00° and 120.00°. The distinct sites, in fractional coordinates, are Pm at (0.0000, 0.0000, 0.0000), Np at (0.3333, 0.6667, 0.2500), Zn at (0.3333, 0.6667, 0.7500) and O at (0.0154, 0.3609, 0.1390).

***

The following is a DFT calculation (PBE) of Ru3Cl after structural relaxation.

The calculation puts the uncorrected formation energy at 1.69 eV per formula unit. The calculation puts the size of the total moment at 0.00 μB per formula unit. The electronic total energy comes out at -7.00 eV per atom. For the energy above the most stable polymorph in this dataset, the calculation gives 0.0000 eV per atom.

The structure belongs to space group R-3m (No. 166, hexagonal axes); the cell edges are 2.8158, 2.8158 and 25.1853 Å and the angles 90.00°, 90.00° and 120.00°. The distinct sites, in fractional coordinates, are Ru at (0.0000, 0.0000, 0.0000), Ru at (0.0000, 0.0000, 0.2497) and Cl at (0.0000, 0.0000, 0.5000).

***

The following is a DFT calculation (PBE) of Li2AcPr2Hg2 after structural relaxation.

The calculation puts the size of the total moment at 0.00 μB per formula unit. The electronic total energy comes out at -2.81 eV per atom.

The structure belongs to space group R-3m (No. 166, hexagonal axes); the cell edges are 4.9189, 4.9189 and 28.4963 Å and the angles 90.00°, 90.00° and 120.00°. The distinct sites, in fractional coordinates, are Li at (0.0000, 0.0000, 0.0913), Ac at (0.0000, 0.0000, 0.5000), Pr at (0.0000, 0.0000, 0.3711) and Hg at (0.0000, 0.0000, 0.2429).

***

The following is a DFT calculation (PBE) of MgPaFe2 after structural relaxation.

The calculation puts the size of the total moment at 0.30 μB per formula unit. The electronic total energy comes out at -6.93 eV per atom.

The structure belongs to space group P4/mmm (No. 123); the cell edges are 3.241, 3.241 and 6.246 Å and the angles 90.00°, 90.00° and 90.00°. The distinct sites, in fractional coordinates, are Mg at (0.000, 0.000, 0.000), Pa at (0.000, 0.000, 0.500) and Fe at (0.500, 0.500, 0.288).

***

The following is a DFT calculation (PBE) of In2CuRh after structural relaxation.

The calculation puts the size of the total moment at 0.00 μB per formula unit. The electronic total energy comes out at -4.38 eV per atom.

The structure belongs to space group Imm2 (No. 44); the cell edges are 3.916, 3.927 and 8.960 Å and the angles 90.00°, 90.00° and 90.00°. The distinct sites, in fractional coordinates, are In at (0.000, 0.000, 0.000), In at (0.000, 0.500, 0.250), Cu at (0.000, 0.500, 0.750) and Rh at (0.000, 0.000, 0.499).

***

The following is a DFT calculation (PBE) of PmMgAgSn after structural relaxation.

The calculation puts the size of the total moment at 0.00 μB per formula unit. The electronic total energy comes out at -3.70 eV per atom.

The structure belongs to space group F-43m (No. 216); the cell edges are 7.283, 7.283 and 7.283 Å and the angles 90.00°, 90.00° and 90.00°. The distinct sites, in fractional coordinates, are Pm at (0.000, 0.000, 0.000), Mg at (0.000, 0.000, 0.500), Ag at (0.250, 0.250, 0.250) and Sn at (0.250, 0.250, 0.750).

***

The following is a DFT calculation (PBE) of MnFeSb4 after structural relaxation.

The calculation puts the uncorrected formation energy at 5.60 eV per formula unit. The calculation puts the size of the total moment at 8.15 μB per formula unit. The electronic total energy comes out at -4.75 eV per atom. For the energy above the most stable polymorph in this dataset, the calculation gives 0.5378 eV per atom.

The structure belongs to space group F-43m (No. 216); the cell edges are 8.643, 8.643 and 8.643 Å and the angles 90.00°, 90.00° and 90.00°. The distinct sites, in fractional coordinates, are Mn at (0.000, 0.000, 0.000), Fe at (0.250, 0.250, 0.250) and Sb at (0.125, 0.125, 0.625).

***

The following is a DFT calculation (PBE) of KNp3Pd2Se6 after structural relaxation.

The calculation puts the uncorrected formation energy at -11.30 eV per formula unit. The calculation puts the size of the total moment at 9.97 μB per formula unit. The electronic total energy comes out at -6.88 eV per atom.

The structure belongs to space group C2/m (No. 12); the cell edges are 19.572, 4.205 and 9.313 Å and the angles 90.00°, 111.02° and 90.00°. The distinct sites, in fractional coordinates, are K at (0.000, 0.000, 0.000), Np at (0.000, 0.000, 0.500), Np at (0.169, 0.500, 0.830), Pd at (0.115, 0.500, 0.464), Se at (0.013, 0.500, 0.731), Se at (0.161, 0.000, 0.615) and Se at (0.176, 0.000, 0.042).

***

The following is a DFT calculation (PBE) of MnInP2S after structural relaxation.

The calculation puts the uncorrected formation energy at 5.79 eV per formula unit. The calculation puts the size of the total moment at 3.58 μB per formula unit. The electronic total energy comes out at -4.21 eV per atom. For the energy above the most stable polymorph in this dataset, the calculation gives 0.9432 eV per atom.

The structure belongs to space group P4/mmm (No. 123); the cell edges are 4.837, 4.837 and 5.227 Å and the angles 90.00°, 90.00° and 90.00°. The distinct sites, in fractional coordinates, are Mn at (0.000, 0.000, 0.000), In at (0.500, 0.500, 0.500), P at (0.000, 0.500, 0.500) and S at (0.500, 0.500, 0.000).

***

The following is a DFT calculation (PBE) of PaTe2Br4 after structural relaxation.

The calculation puts the uncorrected formation energy at -6.31 eV per formula unit. The calculation puts the size of the total moment at 0.26 μB per formula unit. The electronic total energy comes out at -4.11 eV per atom.

The structure belongs to space group C2/m (No. 12); the cell edges are 15.305, 4.823 and 7.610 Å and the angles 90.00°, 104.81° and 90.00°. The distinct sites, in fractional coordinates, are Pa at (0.000, 0.000, 0.000), Te at (0.208, 0.000, 0.913), Br at (0.045, 0.500, 0.816) and Br at (0.122, 0.000, 0.328).

***

The following is a DFT calculation (PBE) of ZrInCuSe3 after structural relaxation.

The calculation puts the uncorrected formation energy at -4.89 eV per formula unit. The calculation puts the size of the total moment at 0.00 μB per formula unit. The electronic total energy comes out at -5.12 eV per atom.

The structure belongs to space group P2_1/m (No. 11); the cell edges are 8.784, 3.870 and 9.386 Å and the angles 90.00°, 110.43° and 90.00°. The distinct sites, in fractional coordinates, are Zr at (0.188, 0.250, 0.166), In at (0.284, 0.750, 0.750), Cu at (0.417, 0.750, 0.400), Se at (0.040, 0.250, 0.848), Se at (0.277, 0.250, 0.467) and Se at (0.390, 0.750, 0.131).

***

The following is a DFT calculation (PBE) of MnHg2Se after structural relaxation.

The calculation puts the uncorrected formation energy at 1.08 eV per formula unit. The calculation puts the size of the total moment at 4.20 μB per formula unit. The electronic total energy comes out at -3.05 eV per atom.

The structure belongs to space group P4/mmm (No. 123); the cell edges are 3.982, 3.982 and 5.541 Å and the angles 90.00°, 90.00° and 90.00°. The distinct sites, in fractional coordinates, are Mn at (0.000, 0.000, 0.000), Hg at (0.500, 0.500, 0.247) and Se at (0.000, 0.000, 0.500).